Record 1
{
  "formula": "NbHg3Sb",
  "functional": "PBEsol",
  "state": "optimized geometry",
  "sg": "Pm-3m",
  "dft_energy_ev_per_fu": -12.5,
  "formation_energy_uncorrected_mev_per_atom": 924,
  "cell": [[5.262, 0.000, 0.000], [0.000, 5.262, 0.000], [0.000, 0.000, 5.262]],
  "species": ["Nb", "Hg", "Hg", "Hg", "Sb"],
  "frac_coords": [[0.000, 0.000, 0.000], [0.000, 0.000, 0.500], [0.000, 0.500, 0.000], [0.500, 0.000, 0.000], [0.500, 0.500, 0.500]]
}

Record 2
{
  "formula": "SiAu2BrF",
  "functional": "PBEsol",
  "state": "optimized geometry",
  "sg": "P4/mmm",
  "dft_energy_ev_per_fu": -19.2,
  "formation_energy_uncorrected_mev_per_atom": -355,
  "cell": [[4.852, 0.000, 0.000], [0.000, 4.852, 0.000], [0.000, 0.000, 3.856]],
  "species": ["Si", "Au", "Au", "Br", "F"],
  "frac_coords": [[0.000, 0.000, 0.000], [0.000, 0.500, 0.000], [0.500, 0.000, 0.000], [0.500, 0.500, 0.500], [0.000, 0.000, 0.500]]
}

Record 3
{
  "formula": "SnTe2PdN",
  "functional": "PBEsol",
  "state": "optimized geometry",
  "sg": "P4/mmm",
  "dft_energy_ev_per_fu": -20.8,
  "formation_energy_uncorrected_mev_per_atom": 1001,
  "cell": [[5.700, 0.000, 0.000], [0.000, 5.700, 0.000], [0.000, 0.000, 3.776]],
  "species": ["Sn", "Te", "Te", "Pd", "N"],
  "frac_coords": [[0.000, 0.000, 0.000], [0.000, 0.500, 0.000], [0.500, 0.000, 0.000], [0.500, 0.500, 0.500], [0.000, 0.000, 0.500]]
}

Record 4
{
  "formula": "AsIr3",
  "functional": "PBEsol",
  "state": "optimized geometry",
  "sg": "R-3m",
  "e_form_ev_per_fu": 0.695,
  "dft_energy_ev_per_fu": -33.9,
  "relative_energy_mev_per_atom": 18,
  "cell": [[1.399, 0.808, 8.477], [-1.399, 0.808, 8.477], [0.000, -1.616, 8.477]],
  "species": ["As", "Ir", "Ir", "Ir"],
  "frac_coords": [[0.000, 0.000, 0.000], [0.253, 0.253, 0.253], [0.500, 0.500, 0.500], [0.747, 0.747, 0.747]]
}

Record 5
{
  "formula": "Ga2NiO4",
  "functional": "PBEsol",
  "state": "optimized geometry",
  "sg": "Fd-3m",
  "dft_energy_ev_per_fu": -44.1,
  "formation_energy_uncorrected_mev_per_atom": -1466,
  "relative_energy_mev_per_atom": 81,
  "cell": [[0.000, 4.157, 4.157], [4.157, 0.000, 4.157], [4.157, 4.157, 0.000]],
  "species": ["Ga", "Ga", "Ga", "Ga", "Ni", "Ni", "O", "O", "O", "O", "O", "O", "O", "O"],
  "frac_coords": [[0.000, 0.000, 0.000], [0.000, 0.000, 0.500], [0.000, 0.500, 0.000], [0.500, 0.000, 0.000], [0.375, 0.375, 0.375], [0.625, 0.625, 0.625], [0.218, 0.761, 0.761], [0.239, 0.239, 0.239], [0.239, 0.239, 0.782], [0.239, 0.782, 0.239], [0.761, 0.218, 0.761], [0.761, 0.761, 0.218], [0.761, 0.761, 0.761], [0.782, 0.239, 0.239]]
}

Record 6
{
  "formula": "Bi2Pt",
  "functional": "PBEsol",
  "state": "optimized geometry",
  "sg": "Pa-3",
  "e_form_ev_per_fu": -0.746,
  "dft_energy_ev_per_fu": -16.3,
  "cell": [[6.718, 0.000, 0.000], [0.000, 6.718, 0.000], [0.000, 0.000, 6.718]],
  "species": ["Bi", "Bi", "Bi", "Bi", "Bi", "Bi", "Bi", "Bi", "Pt", "Pt", "Pt", "Pt"],
  "frac_coords": [[0.130, 0.130, 0.130], [0.130, 0.370, 0.630], [0.370, 0.630, 0.130], [0.370, 0.870, 0.630], [0.630, 0.130, 0.370], [0.630, 0.370, 0.870], [0.870, 0.630, 0.370], [0.870, 0.870, 0.870], [0.000, 0.000, 0.500], [0.000, 0.500, 0.000], [0.500, 0.000, 0.000], [0.500, 0.500, 0.500]]
}

Record 7
{
  "formula": "CaCuTc2",
  "functional": "PBEsol",
  "state": "optimized geometry",
  "sg": "F-43m",
  "e_form_ev_per_fu": 1.931,
  "dft_energy_ev_per_fu": -27.1,
  "relative_energy_mev_per_atom": 24,
  "cell": [[0.000, 3.131, 3.131], [3.131, 0.000, 3.131], [3.131, 3.131, 0.000]],
  "species": ["Ca", "Cu", "Tc", "Tc"],
  "frac_coords": [[0.000, 0.000, 0.000], [0.750, 0.750, 0.750], [0.250, 0.250, 0.250], [0.500, 0.500, 0.500]]
}

Record 8
{
  "formula": "LiHgSe2",
  "functional": "PBEsol",
  "state": "optimized geometry",
  "sg": "Pmm2",
  "dft_energy_ev_per_fu": -11.8,
  "formation_energy_uncorrected_mev_per_atom": -396,
  "cell": [[4.889, 0.000, 0.000], [0.000, 5.501, 0.000], [0.000, 0.000, 3.048]],
  "species": ["Li", "Hg", "Se", "Se"],
  "frac_coords": [[0.000, 0.000, 0.000], [0.500, 0.500, 0.496], [0.000, 0.500, 0.996], [0.500, 0.000, 0.496]]
}

Q: Number 6 is which compound?
A: Bi2Pt